Density functional theory data (GGA-PBE) for a relaxed structure of CaGa2.

Cell lengths 4.3812, 4.3812, 4.0555 Å; angles 90.00, 90.00, 120.00 degrees
Space group P6/mmm (No. 191)
One atom of each set of equivalent atoms:
Ca 0.0000 0.0000 0.0000
Ga 0.3333 0.6667 0.5000

Results
E_form in eV/atom: -0.4816
E_tot in eV/atom: -3.167